# 1
First-principles (GGA-PBE) data for a geometry-optimized ZrTc2Ru structure, as listed in Alexandria via LeMat-Bulk.

Cell and atoms, written as POSCAR:
```
ZrTc2Ru
1.0
2.829 0.000 0.000
-1.414 2.450 0.000
0.000 0.000 27.857
Zr Tc Ru
3 6 3
direct
0.000 0.000 0.000 Zr
0.333 0.667 0.667 Zr
0.667 0.333 0.333 Zr
0.000 0.000 0.241 Tc
0.000 0.000 0.499 Tc
0.333 0.667 0.166 Tc
0.333 0.667 0.908 Tc
0.667 0.333 0.575 Tc
0.667 0.333 0.832 Tc
0.000 0.000 0.756 Ru
0.333 0.667 0.422 Ru
0.667 0.333 0.089 Ru
```

Its space group is R3m, No. 160. As for the size of the total moment: 0.00 μB per formula unit. The calculation puts the volume at 16.08 Å³ per atom. The formation energy is 168 meV per atom. The value obtained for the density of states at the Fermi level is 1.212 states/eV/atom. As for the excess energy over the best structure of this formula in the dataset: 228 meV per atom. As for the density: 10.02 Mg/m³.


# 2
First-principles (GGA-PBE) data for a geometry-optimized SrMgRh2 structure, as listed in Alexandria via LeMat-Bulk.

Cell and atoms, written as POSCAR:
```
SrMgRh2
1.0
3.111 0.000 0.000
0.000 3.740 0.000
0.000 0.000 7.352
Sr Mg Rh
1 1 2
direct
0.000 0.000 0.000 Sr
0.500 0.500 0.374 Mg
0.000 0.000 0.573 Rh
0.500 0.500 0.728 Rh
```

Its space group is Pmm2, No. 25. As for the size of the total moment: 0.00 μB per formula unit. The calculation puts the volume at 21.39 Å³ per atom. The formation energy is 13 meV per atom. The value obtained for the density of states at the Fermi level is 1.250 states/eV/atom. As for the density: 6.17 Mg/m³.